(1)
NaTeBr4: relaxed, PBE.

As for the offset from the most stable computed form: 0.0278 eV/atom. The total energy is -2.5497 eV per atom. Its formation energy (no corrections) is -0.69 eV/atom.

Cell and atoms, written as CIF:
```
data_NaTeBr4
_chemical_formula_sum 'Na4 Te4 Br16'
_symmetry_space_group_name_H-M 'C 1 2/c 1'
_symmetry_Int_Tables_number 15
_cell_length_a 8.370
_cell_length_b 16.726
_cell_length_c 7.452
_cell_angle_alpha 90.00
_cell_angle_beta 118.96
_cell_angle_gamma 90.00
loop_
_symmetry_equiv_pos_as_xyz
'x,y,z'
'-x,-y,-z'
'-x,y,-z+1/2'
'x,-y,z+1/2'
'x+1/2,y+1/2,z'
'-x+1/2,-y+1/2,-z'
'-x+1/2,y+1/2,-z+1/2'
'x+1/2,-y+1/2,z+1/2'
loop_
_atom_site_label
_atom_site_type_symbol
_atom_site_fract_x
_atom_site_fract_y
_atom_site_fract_z
Na1 Na 0.000 0.174 0.250
Te1 Te 0.000 0.327 0.750
Br1 Br 0.225 0.207 0.737
Br2 Br 0.231 0.438 0.760
```

---

(2)
Na2TeBr6: relaxed, PBE.

As for the offset from the most stable computed form: 0.0000 eV/atom. The total energy is -2.6441 eV per atom. Its formation energy (no corrections) is -0.89 eV/atom.

Cell and atoms, written as CIF:
```
data_Na2TeBr6
_chemical_formula_sum 'Na4 Te2 Br12'
_symmetry_space_group_name_H-M 'P 1 21/c 1'
_symmetry_Int_Tables_number 14
_cell_length_a 7.242
_cell_length_b 7.567
_cell_length_c 12.835
_cell_angle_alpha 90.00
_cell_angle_beta 121.60
_cell_angle_gamma 90.00
loop_
_symmetry_equiv_pos_as_xyz
'x,y,z'
'-x,-y,-z'
'-x,y+1/2,-z+1/2'
'x,-y+1/2,z+1/2'
loop_
_atom_site_label
_atom_site_type_symbol
_atom_site_fract_x
_atom_site_fract_y
_atom_site_fract_z
Na1 Na 0.181 0.083 0.214
Te1 Te 0.500 0.000 0.000
Br1 Br 0.144 0.197 0.948
Br2 Br 0.242 0.704 0.918
Br3 Br 0.413 0.065 0.768
```

---

(3)
NaTe2Br8: relaxed, PBE.

As for the offset from the most stable computed form: 0.0000 eV/atom. The total energy is -2.3224 eV per atom. Its formation energy (no corrections) is -0.41 eV/atom.

Cell and atoms, written as CIF:
```
data_NaTe2Br8
_chemical_formula_sum 'Na1 Te2 Br8'
_symmetry_space_group_name_H-M 'P -3'
_symmetry_Int_Tables_number 147
_cell_length_a 9.3021
_cell_length_b 9.3021
_cell_length_c 5.8176
_cell_angle_alpha 90.00
_cell_angle_beta 90.00
_cell_angle_gamma 120.00
loop_
_symmetry_equiv_pos_as_xyz
'x,y,z'
'-x,-y,-z'
'-y,x-y,z'
'y,-x+y,-z'
'-x+y,-x,z'
'x-y,x,-z'
loop_
_atom_site_label
_atom_site_type_symbol
_atom_site_fract_x
_atom_site_fract_y
_atom_site_fract_z
Na1 Na 0.0000 0.0000 0.0000
Te1 Te 0.3333 0.6667 0.2414
Br1 Br 0.1684 0.3390 0.2611
Br2 Br 0.3333 0.6667 0.7491
```

---

(4)
NaTeBr3: relaxed, PBE.

As for the offset from the most stable computed form: 0.1515 eV/atom. The total energy is -2.4548 eV per atom. Its formation energy (no corrections) is -0.56 eV/atom.

Cell and atoms, written as CIF:
```
data_NaTeBr3
_chemical_formula_sum 'Na1 Te1 Br3'
_symmetry_space_group_name_H-M 'P m -3 m'
_symmetry_Int_Tables_number 221
_symmetry_space_group_name_Hall '-P 4 2 3'
_cell_length_a 5.793
_cell_length_b 5.793
_cell_length_c 5.793
_cell_angle_alpha 90.00
_cell_angle_beta 90.00
_cell_angle_gamma 90.00
loop_
_atom_site_label
_atom_site_type_symbol
_atom_site_fract_x
_atom_site_fract_y
_atom_site_fract_z
Na1 Na 0.000 0.000 0.000
Te1 Te 0.500 0.500 0.500
Br1 Br 0.000 0.500 0.500
```

---

(5)
Na2Te2Br: relaxed, PBE.

As for the offset from the most stable computed form: 0.0000 eV/atom. The total energy is -2.6164 eV per atom. Its formation energy (no corrections) is -0.50 eV/atom.

Cell and atoms, written as CIF:
```
data_Na2Te2Br
_chemical_formula_sum 'Na4 Te4 Br2'
_symmetry_space_group_name_H-M 'P 4/m b m'
_symmetry_Int_Tables_number 127
_symmetry_space_group_name_Hall '-P 4 2ab'
_cell_length_a 9.834
_cell_length_b 9.834
_cell_length_c 3.111
_cell_angle_alpha 90.00
_cell_angle_beta 90.00
_cell_angle_gamma 90.00
loop_
_atom_site_label
_atom_site_type_symbol
_atom_site_fract_x
_atom_site_fract_y
_atom_site_fract_z
Na1 Na 0.175 0.325 0.000
Te1 Te 0.120 0.620 0.500
Br1 Br 0.000 0.000 0.000
```

---

(6)
NaTe2Br8: relaxed, PBE.

As for the offset from the most stable computed form: 0.0074 eV/atom. The total energy is -2.3151 eV per atom. Its formation energy (no corrections) is -0.41 eV/atom.

Cell and atoms, written as CIF:
```
data_NaTe2Br8
_chemical_formula_sum 'Na2 Te4 Br16'
_symmetry_space_group_name_H-M 'C 1 2/m 1'
_symmetry_Int_Tables_number 12
_cell_length_a 17.180
_cell_length_b 7.976
_cell_length_c 7.704
_cell_angle_alpha 90.00
_cell_angle_beta 113.13
_cell_angle_gamma 90.00
loop_
_symmetry_equiv_pos_as_xyz
'x,y,z'
'-x,-y,-z'
'-x,y,-z'
'x,-y,z'
'x+1/2,y+1/2,z'
'-x+1/2,-y+1/2,-z'
'-x+1/2,y+1/2,-z'
'x+1/2,-y+1/2,z'
loop_
_atom_site_label
_atom_site_type_symbol
_atom_site_fract_x
_atom_site_fract_y
_atom_site_fract_z
Na1 Na 0.000 0.000 0.000
Te1 Te 0.120 0.000 0.599
Br1 Br 0.052 0.236 0.772
Br2 Br 0.183 0.000 0.334
Br3 Br 0.237 0.500 0.139
```